{"formula": "La2PmSnN", "functional": "GGA-PBE", "state": "optimized geometry", "e_form_raw_ev_per_atom": -1.0007, "magmom_total_mub_per_cell": 0.0, "dos_at_fermi_per_ev_cell": 2.4, "rho_kg_m3": 7101, "lattice_angstrom": [[5.026, 0.000, 0.000], [0.000, 5.084, 0.000], [0.000, 0.000, 5.084]], "species": ["La", "La", "Sn", "N", "Pm"], "fractional_positions": [[0.000, 0.000, 0.500], [0.000, 0.500, 0.000], [0.500, 0.500, 0.500], [0.000, 0.000, 0.000], [0.500, 0.000, 0.000]]}